DFT (GGA-PBE) results for Ce2Tl2In after structural relaxation.

Properties
Magnetic moment in Bohr magnetons per cell: 3.3
Final energy in eV per atom: -4.071
Volume in Å³ per atom: 28.000

a = 6.5387 Å, b = 6.5387 Å, c = 8.7889 Å
α = 111.44°, β = 111.44°, γ = 54.85°
Atoms (fractional coordinates):
1 Ce 0.0109 0.7196 0.5357
2 Ce 0.2804 0.9891 0.9643
3 Ce 0.7196 0.0109 0.0357
4 Ce 0.9891 0.2804 0.4643
5 Tl 0.1884 0.4846 0.8619
6 Tl 0.4846 0.1884 0.3619
7 Tl 0.5154 0.8116 0.6381
8 Tl 0.8116 0.5154 0.1381
9 In 0.3223 0.6777 0.2500
10 In 0.6777 0.3223 0.7500


DFT (GGA-PBE) results for CeTlIn after structural relaxation.

Properties
Offset from the most stable computed form in meV per atom: 0.0
Magnetic moment in Bohr magnetons per cell: 2.1
Final energy in eV per atom: -3.935
Volume in Å³ per atom: 28.038

a = 5.4004 Å, b = 5.4004 Å, c = 6.6479 Å
α = 90.00°, β = 90.00°, γ = 119.81°
Atoms (fractional coordinates):
1 Ce 0.1665 0.8335 0.7500
2 Ce 0.8335 0.1665 0.2500
3 Tl 0.1674 0.8326 0.2500
4 Tl 0.8326 0.1674 0.7500
5 In 0.5000 0.5000 0.0000
6 In 0.5000 0.5000 0.5000


DFT (GGA-PBE) results for Ce12TlIn3 after structural relaxation.

Properties
Magnetic moment in Bohr magnetons per cell: 12.0
Final energy in eV per atom: -5.288
Volume in Å³ per atom: 27.848

a = 4.8149 Å, b = 4.8149 Å, c = 19.2195 Å
α = 90.00°, β = 90.00°, γ = 90.00°
Atoms (fractional coordinates):
1 Ce 0.0000 0.0000 0.0000
2 Ce 0.0000 0.0000 0.2492
3 Ce 0.0000 0.0000 0.5000
4 Ce 0.0000 0.0000 0.7508
5 Ce 0.0000 0.5000 0.1247
6 Ce 0.0000 0.5000 0.3740
7 Ce 0.0000 0.5000 0.6260
8 Ce 0.0000 0.5000 0.8753
9 Ce 0.5000 0.0000 0.1247
10 Ce 0.5000 0.0000 0.3740
11 Ce 0.5000 0.0000 0.6260
12 Ce 0.5000 0.0000 0.8753
13 Tl 0.5000 0.5000 0.5000
14 In 0.5000 0.5000 0.0000
15 In 0.5000 0.5000 0.2496
16 In 0.5000 0.5000 0.7504


DFT (GGA-PBE) results for Ce6TlIn after structural relaxation.

Properties
Offset from the most stable computed form in meV per atom: 271.8
Magnetic moment in Bohr magnetons per cell: 1.7
Final energy in eV per atom: -4.974
Volume in Å³ per atom: 28.056

a = 6.7474 Å, b = 6.7474 Å, c = 6.5097 Å
α = 108.84°, β = 108.84°, γ = 111.97°
Atoms (fractional coordinates):
1 Ce 0.0408 0.5382 0.7338
2 Ce 0.2100 0.2100 0.1858
3 Ce 0.4618 0.9592 0.2662
4 Ce 0.5382 0.0408 0.7338
5 Ce 0.7900 0.7900 0.8142
6 Ce 0.9592 0.4618 0.2662
7 Tl 0.5000 0.5000 0.0000
8 In 0.0000 0.0000 0.5000


- The highest magnetic moment belongs to which entry?
  Ce12TlIn3


- Which value of final energy does entry 4 give?
  -4.974 eV per atom


- What is the final energy in the first record?
  -4.071 eV per atom


- What is the final energy in the fourth record?
  -4.974 eV per atom